Tb2Sm6Al: relaxed, PBE.

a b c (Å): 5.4283 10.2084 10.3026
angles (deg): 90.00 90.00 90.00
Last column: nearest neighbours and their distance in Å.
Fractional coordinates of all 18 atoms:
Sm1 0.9999 0.6262 0.8821  2 Al 3.24, 3 Sm 3.49-3.54, 4 Tb 3.58-3.62
Sm2 0.5000 0.8128 0.0489  1 Al 3.23, 3 Tb 3.36-3.42, 1 Sm 3.49
Sm3 0.0000 0.3128 0.4511  1 Al 3.23, 3 Tb 3.36-3.42, 1 Sm 3.49
Sm4 0.0000 0.9652 0.8124  1 Al 3.24, 3 Tb 3.33-3.38, 1 Sm 3.53
Sm5 0.5000 0.1872 0.9511  1 Al 3.23, 3 Tb 3.36-3.42, 1 Sm 3.49
Sm6 0.4999 0.8738 0.3821  2 Al 3.24, 3 Sm 3.49-3.54, 4 Tb 3.58-3.62
Sm7 0.0000 0.6872 0.5489  1 Al 3.23, 3 Tb 3.36-3.42, 1 Sm 3.49
Sm8 0.0000 0.0348 0.1876  1 Al 3.24, 3 Tb 3.33-3.38, 1 Sm 3.53
Sm9 0.5001 0.1262 0.6179  2 Al 3.24, 3 Sm 3.49-3.54, 4 Tb 3.58-3.62
Sm10 0.5000 0.4652 0.6876  1 Al 3.24, 3 Tb 3.33-3.38, 1 Sm 3.53
Sm11 0.5000 0.5348 0.3124  1 Al 3.24, 3 Tb 3.33-3.38, 1 Sm 3.53
Sm12 0.0001 0.3738 0.1179  2 Al 3.24, 3 Sm 3.49-3.54, 4 Tb 3.58-3.62
Tb1 0.9999 0.7109 0.2236  10 Sm 3.33-3.62
Tb2 0.0001 0.2891 0.7764  10 Sm 3.33-3.62
Tb3 0.4999 0.7891 0.7236  10 Sm 3.33-3.62
Tb4 0.5001 0.2109 0.2764  10 Sm 3.33-3.62
Al1 0.0000 0.0000 0.5000  8 Sm 3.23-3.24
Al2 0.5000 0.5000 0.0000  8 Sm 3.23-3.24

Summary:
Formation energy: -0.010 eV per atom
Space-group type: Pnnm, No. 58
Calculated density: 7.25 g cm⁻³
N(E_F): 1.3925 states/eV/atom